[1]
Material: Tb2Tm3Si4
Method: DFT, PBE
State: relaxed Values from VASP.

Structure (Quantum ESPRESSO input):
```
&SYSTEM
  ibrav = 0, nat = 18, ntyp = 3
/
ATOMIC_SPECIES
Si 28.09 Si.upf
Tb 158.93 Tb.upf
Tm 168.93 Tm.upf
ATOMIC_POSITIONS angstrom
Si -4.158 -6.163 1.909
Tb -1.310 -1.484 -0.088
Si -5.235 -3.294 4.841
Tb -5.703 -5.445 -0.581
Si -5.136 -2.113 -4.512
Tm -3.667 -0.374 -2.457
Tm -3.122 -3.624 -3.017
Tm -6.469 -2.083 -2.040
Si -6.299 -2.774 0.806
Tb -9.061 -3.923 0.418
Tb -4.669 0.038 0.910
Si -3.544 -6.345 -2.461
Si -6.827 0.937 2.790
Tm -3.903 -3.324 2.369
Si -4.073 -2.633 -0.477
Tm -7.249 -1.783 3.346
Tm -2.261 -4.891 -0.085
Si -6.214 0.756 -1.580
CELL_PARAMETERS angstrom
-5.849 4.376 0.498
-1.484 -5.124 -5.413
-3.038 -4.658 5.243
```

Calculated values
**M_tot**: 0.0 μB per formula unit
**DFT total energy**: -5.699 eV per atom
**Energy relative to the elements, uncorrected**: -0.77 eV/atom
**D(E_F)**: 15.559 states/eV per cell



[2]
Material: Tb4TmSi4
Method: DFT, PBE
State: relaxed Values from VASP.

Structure (Quantum ESPRESSO input):
```
&SYSTEM
  ibrav = 0, nat = 18, ntyp = 3
/
ATOMIC_SPECIES
Si 28.09 Si.upf
Tm 168.93 Tm.upf
Tb 158.93 Tb.upf
ATOMIC_POSITIONS angstrom
Si 3.407 6.974 5.460
Tm 0.000 0.000 0.000
Si 4.913 3.053 6.991
Tb 0.196 -0.677 6.423
Si 5.789 1.100 8.224
Tb 3.754 2.590 9.743
Si 1.558 1.427 1.768
Tm 2.408 2.705 5.898
Tb 3.501 -0.441 7.386
Si 0.850 1.277 4.130
Tb 0.160 3.847 2.697
Tb 3.470 5.525 7.952
Si 2.529 4.963 4.325
Si -1.122 1.318 8.142
Tb 3.892 2.917 2.574
Si 1.340 1.525 8.148
Tb -1.231 2.818 5.682
Tb 5.522 5.060 4.731
CELL_PARAMETERS angstrom
-3.478 3.961 2.481
1.289 -3.823 7.910
7.005 5.272 1.406
```

Calculated values
**M_tot**: 0.0 μB per formula unit
**DFT total energy**: -5.453 eV per atom
**Energy relative to the elements, uncorrected**: -0.49 eV/atom
**D(E_F)**: 17.244 states/eV per cell



[3]
Material: TbTm2Si
Method: DFT, PBE
State: relaxed Values from VASP.

Structure (Quantum ESPRESSO input):
```
&SYSTEM
  ibrav = 0, nat = 4, ntyp = 3
/
ATOMIC_SPECIES
Tm 168.93 Tm.upf
Tb 158.93 Tb.upf
Si 28.09 Si.upf
ATOMIC_POSITIONS angstrom
Tm 5.235 3.023 3.438
Tm 1.745 1.008 7.370
Tb 0.000 0.000 0.000
Si 3.490 2.015 5.404
CELL_PARAMETERS angstrom
3.490 0.000 0.000
1.745 3.023 0.000
1.745 1.008 10.808
```

Calculated values
**M_tot**: 0.0 μB per formula unit
**DFT total energy**: -4.730 eV per atom
**Energy relative to the elements, uncorrected**: 0.02 eV/atom
**D(E_F)**: 4.765 states/eV per cell